# 1
Density functional theory data (GGA-PBE) for a relaxed structure of Pm2MnNi4Sb3.

a b c (Å): 4.287 4.287 10.311
angles (deg): 90.00 90.00 90.00
Space group P-4m2 (No. 115)
One atom of each set of equivalent atoms:
1 Pm 0.000 0.500 0.246
2 Mn 0.000 0.000 0.500
3 Ni 0.000 0.000 0.000
4 Ni 0.000 0.500 0.626
5 Ni 0.500 0.500 0.000
6 Sb 0.000 0.500 0.867
7 Sb 0.500 0.500 0.500

Values from the calculation:
final energy	-5.98	eV/atom
total magnetization	3.89	Bohr magnetons per cell
crystal system	tetragonal
formation energy from raw total energies	-0.57	eV/atom
mass density	8.28	g cm⁻³

=====

# 2
Density functional theory data (GGA-PBE) for a relaxed structure of Pm2MnSi3Ni12.

a b c (Å): 6.0825 6.0825 24.7638
angles (deg): 90.00 90.00 120.00
Space group R-3m (No. 166, hexagonal axes)
One atom of each set of equivalent atoms:
1 Pm 0.0000 0.0000 0.1514
2 Mn 0.0000 0.0000 0.5000
3 Si 0.0000 0.5000 0.0000
4 Ni 0.0539 0.5270 0.0940
5 Ni 0.0645 0.5323 0.6224

Values from the calculation:
final energy	-5.86	eV/atom
total magnetization	12.77	Bohr magnetons per cell
crystal system	trigonal
formation energy from raw total energies	-0.07	eV/atom
mass density	7.12	g cm⁻³

=====

# 3
Density functional theory data (GGA-PBE) for a relaxed structure of Pm2MnNi3Sn4.

a b c (Å): 4.397 4.397 10.627
angles (deg): 90.00 90.00 90.00
Space group P-4m2 (No. 115)
One atom of each set of equivalent atoms:
1 Pm 0.000 0.500 0.248
2 Mn 0.500 0.500 0.000
3 Ni 0.000 0.000 0.000
4 Ni 0.000 0.500 0.626
5 Sn 0.000 0.000 0.500
6 Sn 0.000 0.500 0.863
7 Sn 0.500 0.500 0.500

Values from the calculation:
final energy	-5.65	eV/atom
total magnetization	3.47	Bohr magnetons per cell
formation energy	-4.5	eV per formula unit
crystal system	tetragonal
mass density	8.05	g cm⁻³

=====

# 4
Density functional theory data (GGA-PBE) for a relaxed structure of Pm2MnZn12Ni3.

a b c (Å): 8.7338 8.7338 16.5038
angles (deg): 90.00 90.00 120.00
Space group R-3m (No. 166, hexagonal axes)
One atom of each set of equivalent atoms:
1 Pm 0.0000 0.0000 0.1031
2 Mn 0.0000 0.0000 0.5000
3 Zn 0.9996 0.4998 0.1394
4 Zn 0.0373 0.5187 0.3143
5 Ni 0.0000 0.5000 0.0000

Values from the calculation:
final energy	-2.60	eV/atom
total magnetization	12.15	Bohr magnetons per cell
formation energy	4.4	eV per formula unit
crystal system	trigonal
mass density	5.97	g cm⁻³

=====

# 5
Density functional theory data (GGA-PBE) for a relaxed structure of Pm2MnZn2Ni5.

a b c (Å): 9.411 9.411 3.566
angles (deg): 90.00 90.00 90.00
Space group P4/mbm (No. 127)
One atom of each set of equivalent atoms:
1 Pm 0.179 0.321 0.000
2 Mn 0.000 0.000 0.000
3 Zn 0.118 0.618 0.000
4 Ni 0.000 0.500 0.500
5 Ni 0.056 0.801 0.500

Values from the calculation:
final energy	-5.16	eV/atom
total magnetization	8.09	Bohr magnetons per cell
formation energy	-1.4	eV per formula unit
crystal system	tetragonal
mass density	8.09	g cm⁻³

=====

# 6
Density functional theory data (GGA-PBE) for a relaxed structure of Pm2Mn2ZnNi5.

a b c (Å): 9.248 9.248 3.673
angles (deg): 90.00 90.00 90.00
Space group P4/mbm (No. 127)
One atom of each set of equivalent atoms:
1 Pm 0.184 0.316 0.000
2 Mn 0.116 0.616 0.000
3 Zn 0.000 0.000 0.000
4 Ni 0.000 0.500 0.500
5 Ni 0.055 0.795 0.500

Values from the calculation:
final energy	-5.86	eV/atom
total magnetization	15.90	Bohr magnetons per cell
formation energy	-0.6	eV per formula unit
crystal system	tetragonal
mass density	8.02	g cm⁻³

=====

# 7
Density functional theory data (GGA-PBE) for a relaxed structure of PrMnNi.

a b c (Å): 5.175 9.443 18.987
angles (deg): 90.00 90.00 90.00
Space group Fddd (No. 70, origin choice 2)
One atom of each set of equivalent atoms:
1 Pr 0.125 0.289 0.125
2 Mn 0.125 0.125 0.538
3 Ni 0.125 0.125 0.000

Values from the calculation:
final energy	-6.39	eV/atom
total magnetization	62.26	Bohr magnetons per cell
formation energy	0.5	eV per formula unit
crystal system	orthorhombic
mass density	7.29	g cm⁻³

=====

# 8
Density functional theory data (GGA-PBE) for a relaxed structure of Pr3MnNi8.

a b c (Å): 5.0847 5.0847 25.0795
angles (deg): 90.00 90.00 120.00
Space group R3m (No. 160, hexagonal axes)
One atom of each set of equivalent atoms:
1 Pr 0.0000 0.0000 0.0000
2 Pr 0.0000 0.0000 0.1282
3 Pr 0.0000 0.0000 0.6140
4 Mn 0.0000 0.0000 0.4913
5 Ni 0.0000 0.0000 0.3104
6 Ni 0.0000 0.0000 0.8113
7 Ni 0.0021 0.5011 0.5580
8 Ni 0.0044 0.5022 0.0632

Values from the calculation:
final energy	-6.03	eV/atom
total magnetization	15.19	Bohr magnetons per cell
formation energy	-2.6	eV per formula unit
crystal system	trigonal
mass density	8.40	g cm⁻³

=====

# 9
Density functional theory data (GGA-PBE) for a relaxed structure of Pr2Mn2Ni15.

a b c (Å): 8.4157 8.4157 12.3167
angles (deg): 90.00 90.00 120.00
Space group R-3m (No. 166, hexagonal axes)
One atom of each set of equivalent atoms:
1 Pr 0.0000 0.0000 0.1540
2 Mn 0.0000 0.0000 0.3988
3 Ni 0.0000 0.2909 0.5000
4 Ni 0.0000 0.5000 0.0000
5 Ni 0.0040 0.5020 0.3438

Values from the calculation:
final energy	-6.21	eV/atom
total magnetization	39.55	Bohr magnetons per cell
formation energy	-3.3	eV per formula unit
crystal system	trigonal
mass density	8.39	g cm⁻³

=====

# 10
Density functional theory data (GGA-PBE) for a relaxed structure of Pr2MnNi9.

a b c (Å): 4.9383 4.9383 24.7285
angles (deg): 90.00 90.00 120.00
Space group R-3m (No. 166, hexagonal axes)
One atom of each set of equivalent atoms:
1 Pr 0.0000 0.0000 0.1345
2 Mn 0.0000 0.0000 0.0000
3 Ni 0.0000 0.0000 0.3329
4 Ni 0.0000 0.0000 0.5000
5 Ni 0.0007 0.5004 0.0782

Values from the calculation:
final energy	-6.00	eV/atom
total magnetization	20.38	Bohr magnetons per cell
formation energy	-1.2	eV per formula unit
crystal system	trigonal
mass density	8.25	g cm⁻³

=====

# 11
Density functional theory data (GGA-PBE) for a relaxed structure of Pr2MnSi3Ni12.

a b c (Å): 8.5421 8.5421 11.9095
angles (deg): 90.00 90.00 120.00
Space group R-3m (No. 166, hexagonal axes)
One atom of each set of equivalent atoms:
1 Pr 0.0000 0.0000 0.1498
2 Mn 0.0000 0.0000 0.5000
3 Si 0.0000 0.5000 0.0000
4 Ni 0.0130 0.5065 0.1918
5 Ni 0.0175 0.5087 0.3894

Values from the calculation:
final energy	-5.86	eV/atom
total magnetization	13.34	Bohr magnetons per cell
crystal system	trigonal
formation energy from raw total energies	-0.06	eV/atom
mass density	7.45	g cm⁻³

=====

# 12
Density functional theory data (GGA-PBE) for a relaxed structure of MnNiPt2.

a b c (Å): 2.756 2.756 7.413
angles (deg): 90.00 90.00 90.00
Space group P4mm (No. 99)
One atom of each set of equivalent atoms:
1 Mn 0.000 0.000 0.000
2 Ni 0.500 0.500 0.220
3 Pt 0.000 0.000 0.463
4 Pt 0.500 0.500 0.748

Values from the calculation:
final energy	-6.90	eV/atom
total magnetization	4.39	Bohr magnetons per cell
formation energy	-0.6	eV per formula unit
crystal system	tetragonal
mass density	14.86	g cm⁻³

=====

# 13
Density functional theory data (GGA-PBE) for a relaxed structure of MnNi3Pt.

a b c (Å): 4.579 4.579 4.579
angles (deg): 90.00 90.00 90.00
Space group Pm-3m (No. 221)
One atom of each set of equivalent atoms:
1 Mn 0.000 0.000 0.000
2 Ni 0.000 0.500 0.500
3 Pt 0.500 0.500 0.500

Values from the calculation:
final energy	-5.36	eV/atom
total magnetization	7.51	Bohr magnetons per cell
formation energy	5.8	eV per formula unit
relative energy among the computed polymorphs	1.2032	eV/atom
crystal system	cubic
mass density	7.37	g cm⁻³

=====

# 14
Density functional theory data (GGA-PBE) for a relaxed structure of MnNi4Pt7.

a b c (Å): 4.745 5.392 7.148
angles (deg): 78.24 71.49 89.36
Space group P-1 (No. 2)
One atom of each set of equivalent atoms:
1 Mn 0.000 0.000 0.000
2 Ni 0.168 0.417 0.336
3 Ni 0.341 0.833 0.664
4 Pt 0.000 0.500 0.000
5 Pt 0.165 0.917 0.340
6 Pt 0.324 0.334 0.664
7 Pt 0.494 0.750 0.997

Values from the calculation:
final energy	-6.35	eV/atom
total magnetization	8.63	Bohr magnetons per cell
formation energy	-1.6	eV per formula unit
crystal system	triclinic
mass density	16.22	g cm⁻³

=====

# 15
Density functional theory data (GGA-PBE) for a relaxed structure of MnNiPt2.

a b c (Å): 9.052 2.793 4.598
angles (deg): 90.00 101.91 90.00
Space group Cm (No. 8)
One atom of each set of equivalent atoms:
1 Mn 0.000 0.000 0.000
2 Ni 0.242 0.500 0.265
3 Pt 0.250 0.000 0.771
4 Pt 0.491 0.000 0.482

Values from the calculation:
final energy	-6.96	eV/atom
total magnetization	10.26	Bohr magnetons per cell
formation energy	-0.8	eV per formula unit
crystal system	monoclinic
mass density	14.71	g cm⁻³

=====

# 16
Density functional theory data (GGA-PBE) for a relaxed structure of MnNiPt2.

a b c (Å): 2.743 4.157 5.176
angles (deg): 90.00 105.29 90.00
Space group Pm (No. 6)
One atom of each set of equivalent atoms:
1 Mn 0.000 0.000 0.000
2 Ni 0.132 0.500 0.275
3 Pt 0.396 0.500 0.794
4 Pt 0.728 0.000 0.466

Values from the calculation:
final energy	-6.92	eV/atom
total magnetization	5.18	Bohr magnetons per cell
formation energy	-0.6	eV per formula unit
crystal system	monoclinic
mass density	14.69	g cm⁻³

=====

# 17
Density functional theory data (GGA-PBE) for a relaxed structure of MnNiPt.

a b c (Å): 4.1654 4.1654 2.7080
angles (deg): 90.00 90.00 120.00
Space group P3m1 (No. 156)
One atom of each set of equivalent atoms:
1 Mn 0.0000 0.0000 0.0000
2 Ni 0.6667 0.3333 0.1740
3 Pt 0.3333 0.6667 0.6057

Values from the calculation:
final energy	-7.12	eV/atom
total magnetization	4.15	Bohr magnetons per cell
formation energy	-0.4	eV per formula unit
relative energy among the computed polymorphs	0.0609	eV/atom
crystal system	trigonal
mass density	12.60	g cm⁻³

=====

# 18
Density functional theory data (GGA-PBE) for a relaxed structure of MnNi3Pt3.

a b c (Å): 7.301 7.738 7.250
angles (deg): 90.00 90.00 90.00
Space group Cmmm (No. 65)
One atom of each set of equivalent atoms:
1 Mn 0.215 0.000 0.000
2 Ni 0.000 0.248 0.500
3 Ni 0.000 0.268 0.000
4 Ni 0.222 0.000 0.500
5 Pt 0.000 0.500 0.260
6 Pt 0.250 0.250 0.251

Values from the calculation:
final energy	-6.36	eV/atom
total magnetization	23.95	Bohr magnetons per cell
formation energy	0.1	eV per formula unit
crystal system	orthorhombic
mass density	13.24	g cm⁻³

=====

# 19
Density functional theory data (GGA-PBE) for a relaxed structure of MnNi4Pt4.

a b c (Å): 7.966 7.966 3.793
angles (deg): 90.00 90.00 90.00
Space group I4/mmm (No. 139)
One atom of each set of equivalent atoms:
1 Mn 0.000 0.000 0.000
2 Ni 0.163 0.163 0.500
3 Pt 0.000 0.320 0.000

Values from the calculation:
final energy	-6.44	eV/atom
total magnetization	13.63	Bohr magnetons per cell
formation energy	-1.5	eV per formula unit
crystal system	tetragonal
mass density	14.76	g cm⁻³

=====

# 20
Density functional theory data (GGA-PBE) for a relaxed structure of MnNi2Pt2.

a b c (Å): 4.1528 4.1528 9.7823
angles (deg): 90.00 90.00 120.00
Space group P6_3/mmc (No. 194)
One atom of each set of equivalent atoms:
1 Mn 0.0000 0.0000 0.2500
2 Ni 0.3333 0.6667 0.1146
3 Pt 0.0000 0.0000 0.0000
4 Pt 0.3333 0.6667 0.7500

Values from the calculation:
final energy	-6.37	eV/atom
total magnetization	9.64	Bohr magnetons per cell
formation energy	1.0	eV per formula unit
relative energy among the computed polymorphs	0.1456	eV/atom
crystal system	hexagonal
mass density	12.79	g cm⁻³

=====

# 21
Density functional theory data (GGA-PBE) for a relaxed structure of Mn5NiPt6.

a b c (Å): 4.044 7.208 12.180
angles (deg): 90.00 90.00 90.00
Space group Immm (No. 71)
One atom of each set of equivalent atoms:
1 Mn 0.000 0.000 0.000
2 Mn 0.000 0.000 0.345
3 Mn 0.000 0.500 0.328
4 Ni 0.000 0.500 0.000
5 Pt 0.000 0.247 0.166
6 Pt 0.000 0.258 0.500

Values from the calculation:
final energy	-7.65	eV/atom
total magnetization	44.76	Bohr magnetons per cell
formation energy	-4.0	eV per formula unit
crystal system	orthorhombic
mass density	14.07	g cm⁻³